No. 1
# DyLu2Sc3Te2Os

A relaxed structure of DyLu2Sc3Te2Os (GGA-PBE, OQMD via LeMat-Bulk).

a b c (Å): 3.9898 7.8673 7.8673
angles (deg): 119.27 90.00 90.00
Last column: nearest neighbours and their distance in Å.
Fractional coordinates of all 9 atoms:
Dy 0.0000 0.0000 0.0000  4 Te 3.15, 1 Os 3.19, 4 Sc 3.33
Lu 0.0000 0.3890 0.7707  1 Os 2.96, 4 Te 3.17, 2 Sc 3.29
Lu 0.0000 0.7707 0.3890  1 Os 2.96, 4 Te 3.17, 2 Sc 3.29
Sc 0.5000 0.1557 0.3873  2 Os 2.74
Sc 0.5000 0.3873 0.1557  2 Os 2.74
Sc 0.5000 0.6243 0.6243  2 Os 2.67
Te 0.5000 0.0551 0.7203  3 Sc 3.08-3.13, 2 Dy 3.15, 4 Lu 3.17
Te 0.5000 0.7203 0.0551  3 Sc 3.08-3.13, 2 Dy 3.15, 4 Lu 3.17
Os 0.0000 0.4006 0.4006  6 Sc 2.67-2.74, 2 Lu 2.96

The final energy is -6.319 eV per atom. The value obtained for the total magnetization is 0.0 μB/f.u. The space-group type is No. 38.


No. 2
# Dy2LuSc3Te2Os

A relaxed structure of Dy2LuSc3Te2Os (GGA-PBE, OQMD via LeMat-Bulk).

a b c (Å): 3.9932 7.9323 7.9323
angles (deg): 120.52 90.00 90.00
Last column: nearest neighbours and their distance in Å.
Fractional coordinates of all 9 atoms:
Dy 0.0000 0.1945 0.8055  1 Os 3.13, 4 Te 3.16-3.17, 4 Sc 3.33-3.35
Dy 0.0000 0.8055 0.1945  1 Os 3.13, 4 Te 3.16-3.17, 4 Sc 3.33-3.35
Lu 0.0000 0.5779 0.5779  1 Os 2.93, 4 Te 3.17
Sc 0.5000 0.1927 0.4275  2 Os 2.70
Sc 0.5000 0.4275 0.1927  2 Os 2.70
Sc 0.5000 0.9650 0.9650  2 Os 2.75
Te 0.5000 0.5281 0.8593  3 Sc 3.09-3.13, 4 Dy 3.16-3.17, 2 Lu 3.17
Te 0.5000 0.8593 0.5281  3 Sc 3.09-3.13, 4 Dy 3.16-3.17, 2 Lu 3.17
Os 0.0000 0.2053 0.2053  6 Sc 2.70-2.75, 1 Lu 2.93

The final energy is -6.340 eV per atom. The value obtained for the total magnetization is 0.0 μB/f.u. The space-group type is No. 38.


No. 3
# Dy3LuSc2Te2Os

A relaxed structure of Dy3LuSc2Te2Os (GGA-PBE, OQMD via LeMat-Bulk).

a b c (Å): 4.0185 8.0253 8.0253
angles (deg): 120.24 90.00 90.00
Last column: nearest neighbours and their distance in Å.
Fractional coordinates of all 9 atoms:
Dy 0.0000 0.0000 0.0000  1 Os 2.94, 4 Te 3.22
Dy 0.0000 0.2231 0.6167  4 Te 3.15-3.19, 1 Os 3.23, 2 Sc 3.37, 2 Lu 3.41
Dy 0.0000 0.6167 0.2231  4 Te 3.15-3.19, 1 Os 3.23, 2 Sc 3.37, 2 Lu 3.41
Lu 0.5000 0.3847 0.3847  2 Os 2.82
Sc 0.5000 0.6107 0.8462  2 Os 2.70
Sc 0.5000 0.8462 0.6107  2 Os 2.70
Te 0.5000 0.2818 0.9449  2 Sc 3.11-3.16, 6 Dy 3.15-3.22, 1 Lu 3.19
Te 0.5000 0.9449 0.2818  2 Sc 3.11-3.16, 6 Dy 3.15-3.22, 1 Lu 3.19
Os 0.0000 0.6329 0.6329  4 Sc 2.70, 2 Lu 2.82, 1 Dy 2.94

The final energy is -6.153 eV per atom. The value obtained for the total magnetization is 0.0 μB/f.u. The space-group type is No. 38.


No. 4
# DyLuSi2Os

A relaxed structure of DyLuSi2Os (GGA-PBE, OQMD via LeMat-Bulk).

a b c (Å): 5.6526 5.6526 9.8911
angles (deg): 116.17 116.17 43.68
Last column: nearest neighbours and their distance in Å.
Fractional coordinates of all 10 atoms:
Dy 0.1874 0.1874 0.1112  6 Si 2.88-3.16, 2 Os 3.20
Dy 0.8126 0.8126 0.8888  6 Si 2.88-3.16, 2 Os 3.20
Lu 0.0052 0.0052 0.6761  6 Si 2.88-3.05, 4 Os 3.00-3.12
Lu 0.9948 0.9948 0.3239  6 Si 2.88-3.05, 4 Os 3.00-3.12
Si 0.3595 0.3595 0.4405  3 Os 2.41-2.45, 1 Si 2.60
Si 0.4951 0.4951 0.1256  1 Os 2.53, 1 Si 2.53
Si 0.5049 0.5049 0.8744  1 Os 2.53, 1 Si 2.53
Si 0.6405 0.6405 0.5595  3 Os 2.41-2.45, 1 Si 2.60
Os 0.2679 0.2679 0.6265  4 Si 2.41-2.53
Os 0.7321 0.7321 0.3735  4 Si 2.41-2.53

The value obtained for the total magnetization is 0.0 μB/f.u. The space-group type is No. 12. The energy above the most stable polymorph in this dataset is 0 meV/atom.


No. 5
# DyLuSi2Os

A relaxed structure of DyLuSi2Os (GGA-PBE, OQMD via LeMat-Bulk).

a b c (Å): 5.7098 5.7098 9.8987
angles (deg): 116.79 116.79 43.21
Last column: nearest neighbours and their distance in Å.
Fractional coordinates of all 10 atoms:
Dy 0.0101 0.0101 0.1809  6 Si 2.88-3.08, 4 Os 3.04-3.15
Dy 0.9899 0.9899 0.8191  6 Si 2.88-3.08, 4 Os 3.04-3.15
Lu 0.1827 0.1827 0.6105  5 Si 2.86-3.02, 2 Os 3.17
Lu 0.8173 0.8173 0.3895  5 Si 2.86-3.02, 2 Os 3.17
Si 0.3561 0.3561 0.9391  3 Os 2.41-2.45, 1 Si 2.69
Si 0.4956 0.4956 0.6230  1 Si 2.48, 1 Os 2.51
Si 0.5044 0.5044 0.3770  1 Si 2.48, 1 Os 2.51
Si 0.6439 0.6439 0.0609  3 Os 2.41-2.45, 1 Si 2.69
Os 0.2703 0.2703 0.1289  4 Si 2.41-2.51
Os 0.7297 0.7297 0.8711  4 Si 2.41-2.51

The value obtained for the total magnetization is 0.1 μB/f.u. The space-group type is No. 12. The energy above the most stable polymorph in this dataset is 21 meV/atom.


No. 6
# DyLuSn2Os

A relaxed structure of DyLuSn2Os (GGA-PBE, OQMD via LeMat-Bulk).

a b c (Å): 5.8601 5.8601 10.9177
angles (deg): 112.90 112.90 44.53
Last column: nearest neighbours and their distance in Å.
Fractional coordinates of all 10 atoms:
Dy 0.1865 0.1865 0.1294  2 Os 3.00, 6 Sn 3.12-3.35
Dy 0.8135 0.8135 0.8706  2 Os 3.00, 6 Sn 3.12-3.35
Lu 0.0036 0.0036 0.6701  1 Os 2.96, 4 Sn 3.13-3.18
Lu 0.9964 0.9964 0.3299  1 Os 2.96, 4 Sn 3.13-3.18
Sn 0.3449 0.3449 0.4518  3 Os 2.66-2.81
Sn 0.4685 0.4685 0.1173  1 Os 2.74, 1 Sn 2.92
Sn 0.5315 0.5315 0.8827  1 Os 2.74, 1 Sn 2.92
Sn 0.6551 0.6551 0.5482  3 Os 2.66-2.81
Os 0.2779 0.2779 0.6739  4 Sn 2.66-2.81, 1 Lu 2.96
Os 0.7221 0.7221 0.3261  4 Sn 2.66-2.81, 1 Lu 2.96

The final energy is -6.155 eV per atom. The value obtained for the total magnetization is 0.0 μB/f.u. The space-group type is No. 12.


No. 7
# Dy3Lu3Te2Os

A relaxed structure of Dy3Lu3Te2Os (GGA-PBE, OQMD via LeMat-Bulk).

a b c (Å): 8.2330 8.2330 4.0161
angles (deg): 90.00 90.00 120.00
Last column: nearest neighbours and their distance in Å.
Fractional coordinates of all 9 atoms:
Dy 0.0000 0.2435 0.0000  2 Os 2.84
Dy 0.2435 0.0000 0.0000  2 Os 2.84
Dy 0.7565 0.7565 0.0000  2 Os 2.84
Lu 0.0000 0.6166 0.5000  1 Os 3.16, 4 Te 3.26, 4 Dy 3.42
Lu 0.3834 0.3834 0.5000  1 Os 3.16, 4 Te 3.26, 4 Dy 3.42
Lu 0.6166 0.0000 0.5000  1 Os 3.16, 4 Te 3.26, 4 Dy 3.42
Te 0.3333 0.6667 0.0000  3 Dy 3.18, 6 Lu 3.26
Te 0.6667 0.3333 0.0000  3 Dy 3.18, 6 Lu 3.26
Os 0.0000 0.0000 0.5000  6 Dy 2.84, 3 Lu 3.16

The value obtained for the total magnetization is 0.0 μB/f.u. The space-group type is No. 189. The energy above the most stable polymorph in this dataset is 89 meV/atom.


No. 8
# Dy3Lu3Te2Os

A relaxed structure of Dy3Lu3Te2Os (GGA-PBE, OQMD via LeMat-Bulk).

a b c (Å): 8.1768 8.1768 4.0493
angles (deg): 90.00 90.00 120.00
Last column: nearest neighbours and their distance in Å.
Fractional coordinates of all 9 atoms:
Dy 0.0000 0.6108 0.0000  1 Os 3.18, 4 Te 3.24, 4 Lu 3.44
Dy 0.3892 0.3892 0.0000  1 Os 3.18, 4 Te 3.24, 4 Lu 3.44
Dy 0.6108 0.0000 0.0000  1 Os 3.18, 4 Te 3.24, 4 Lu 3.44
Lu 0.0000 0.2356 0.5000  2 Os 2.79
Lu 0.2356 0.0000 0.5000  2 Os 2.79
Lu 0.7644 0.7644 0.5000  2 Os 2.79
Te 0.3333 0.6667 0.5000  3 Lu 3.20, 6 Dy 3.24
Te 0.6667 0.3333 0.5000  3 Lu 3.20, 6 Dy 3.24
Os 0.0000 0.0000 0.0000  6 Lu 2.79

The value obtained for the total magnetization is 0.0 μB/f.u. The space-group type is No. 189. The energy above the most stable polymorph in this dataset is 0 meV/atom.


No. 9
# DyTm3Lu2Te2Os

A relaxed structure of DyTm3Lu2Te2Os (GGA-PBE, OQMD via LeMat-Bulk).

a b c (Å): 4.0225 8.1355 8.1355
angles (deg): 118.43 90.00 90.00
Last column: nearest neighbours and their distance in Å.
Fractional coordinates of all 9 atoms:
Dy 0.0000 0.0000 0.0000  4 Te 3.20, 1 Os 3.42, 4 Tm 3.45
Tm 0.5000 0.1540 0.3902  2 Os 2.84, 1 Te 3.17
Tm 0.5000 0.3902 0.1540  2 Os 2.84, 1 Te 3.17
Tm 0.5000 0.6354 0.6354  2 Os 2.75
Lu 0.0000 0.3918 0.7735  1 Os 3.03, 4 Te 3.24-3.29, 2 Tm 3.37
Lu 0.0000 0.7735 0.3918  1 Os 3.03, 4 Te 3.24-3.29, 2 Tm 3.37
Te 0.5000 0.0593 0.7260  3 Tm 3.16-3.23, 2 Dy 3.20, 4 Lu 3.24-3.29
Te 0.5000 0.7260 0.0593  3 Tm 3.16-3.23, 2 Dy 3.20, 4 Lu 3.24-3.29
Os 0.0000 0.4101 0.4101  6 Tm 2.75-2.84, 2 Lu 3.03

The final energy is -5.660 eV per atom. The value obtained for the total magnetization is 0.0 μB/f.u. The space-group type is No. 38.


No. 10
# DyTm2Lu3Te2Os

A relaxed structure of DyTm2Lu3Te2Os (GGA-PBE, OQMD via LeMat-Bulk).

a b c (Å): 4.0389 8.1139 8.1139
angles (deg): 119.16 90.00 90.00
Last column: nearest neighbours and their distance in Å.
Fractional coordinates of all 9 atoms:
Dy 0.0000 0.0000 0.0000  4 Te 3.22, 1 Os 3.27, 4 Lu 3.44
Tm 0.0000 0.3900 0.7744  1 Os 3.09, 4 Te 3.24-3.25, 4 Lu 3.39-3.42
Tm 0.0000 0.7744 0.3900  1 Os 3.09, 4 Te 3.24-3.25, 4 Lu 3.39-3.42
Lu 0.5000 0.1527 0.3899  2 Os 2.81
Lu 0.5000 0.3899 0.1527  2 Os 2.81
Lu 0.5000 0.6290 0.6290  2 Os 2.77
Te 0.5000 0.0566 0.7226  3 Lu 3.15-3.21, 2 Dy 3.22, 4 Tm 3.24-3.25
Te 0.5000 0.7226 0.0566  3 Lu 3.15-3.21, 2 Dy 3.22, 4 Tm 3.24-3.25
Os 0.0000 0.3976 0.3976  6 Lu 2.77-2.81, 2 Tm 3.09

The final energy is -5.688 eV per atom. The value obtained for the total magnetization is 0.0 μB/f.u. The space-group type is No. 38.